## w
Material: SrSi3S
Method: DFT, PBE
State: optimized geometry

POSCAR file:
```
SrSi3S
1.0
5.666 0.000 0.000
0.000 5.666 0.000
0.000 0.000 5.666
Sr S Si
1 1 3
Cartesian
0.000 0.000 0.000
2.833 2.833 2.833
0.000 2.833 0.000
0.000 0.000 2.833
2.833 0.000 0.000
```

=====

## x
Material: SrSi3S
Method: DFT, PBE
State: optimized geometry

POSCAR file:
```
SrSi3S
1.0
4.840 0.000 0.000
0.000 4.840 0.000
0.000 0.000 4.840
Si S Sr
3 1 1
Cartesian
0.000 0.000 2.420
2.420 0.000 0.000
0.000 2.420 0.000
0.000 0.000 0.000
2.420 2.420 2.420
```

=====

Relative stability in kJ/mol of atoms, measured from the most stable structure: w 156.9; x 0.0